# 1
Computed, not measured: Sr2V3HO9 after structural relaxation at the PBE with a Hubbard U level of DFT.

extended XYZ file:
```
30
Lattice="6.2686 0.0000 0.0000 0.0000 7.6853 -0.0116 0.0000 3.2487 8.2465" Properties=species:S:1:pos:R:3 pbc="T T T"
Sr 4.7014 6.4612 3.3836
Sr 1.5671 4.4727 4.8512
Sr 4.7014 2.8239 2.0635
Sr 1.5671 8.1101 6.1714
V 3.1343 0.0000 0.0000
V 0.0000 0.0000 0.0000
V 1.5671 8.5112 2.8025
V 4.7014 2.4228 5.4323
V 4.7014 6.0831 6.7932
V 1.5671 4.8509 1.4416
H 4.7014 5.6156 0.3072
H 1.5671 5.3184 7.9276
O 3.0490 0.8632 1.8149
O 6.1832 10.0707 6.4200
O 3.2196 10.0707 6.4200
O 0.0853 0.8632 1.8149
O 3.3104 6.2135 5.7672
O 0.1761 4.7205 2.4677
O 2.9582 4.7205 2.4677
O 6.0925 6.2135 5.7672
O 4.7014 4.5421 7.7571
O 1.5671 6.3919 0.4777
O 1.5671 7.0922 3.7513
O 4.7014 3.8418 4.4835
O 4.7014 6.5586 0.6602
O 1.5671 4.3753 7.5746
O 1.5671 2.1307 3.9052
O 4.7014 8.8033 4.3296
O 4.7014 7.3210 7.9712
O 1.5671 3.6129 0.2637
```

Values from the calculation:
Its crystal system is monoclinic. The calculation puts the total DFT energy (no corrections) at -7.203 eV/atom.

# 2
Computed, not measured: Sr2HWO6 after structural relaxation at the PBE with a Hubbard U level of DFT.

extended XYZ file:
```
10
Lattice="6.4339 0.3111 -0.1219 0.2887 5.9980 0.1839 -3.4700 -3.0377 4.1121" Properties=species:S:1:pos:R:3 pbc="T T T"
Sr 3.2903 0.3059 2.1469
Sr -0.2311 3.0687 2.1140
H 3.0387 3.6024 1.3589
W 3.1485 3.2146 4.1123
O 1.8210 2.2785 3.1934
O 3.7413 3.7091 2.0335
O 1.8186 0.4360 0.1516
O 2.3546 -0.9736 4.0195
O -0.7006 -0.4087 1.6610
O -2.1254 1.2701 4.2149
```

Values from the calculation:
Its crystal system is triclinic. The calculation puts the total DFT energy (no corrections) at -6.537 eV/atom.